#i
{"formula": "LaYHoTm", "functional": "PBE", "state": "optimized geometry", "sg": "F-43m (216)", "n_ef_per_ev_cell": 6.6, "lattice_angstrom": [[0.000, 4.045, 4.045], [4.045, 0.000, 4.045], [4.045, 4.045, 0.000]], "species": ["La", "Y", "Ho", "Tm"], "frac_coords": [[0.000, 0.000, 0.000], [0.500, 0.500, 0.500], [0.750, 0.750, 0.750], [0.250, 0.250, 0.250]]}

#ii
{"formula": "LaYHoTm", "functional": "PBE", "state": "optimized geometry", "sg": "R3m (160)", "n_ef_per_ev_cell": 5.9, "lattice_angstrom": [[1.797, 1.037, 11.652], [-1.797, 1.037, 11.652], [0.000, -2.074, 11.652]], "species": ["La", "Y", "Ho", "Tm"], "frac_coords": [[0.000, 0.000, 0.000], [0.579, 0.579, 0.579], [0.752, 0.752, 0.752], [0.164, 0.164, 0.164]]}

Which one sits at the bottom of the stability order? #i does.

#i
{"formula": "LaHoTmZn", "functional": "PBE", "state": "optimized geometry", "sg": "F-43m (216)", "n_ef_per_ev_cell": 4.9, "lattice_angstrom": [[0.000, 3.821, 3.821], [3.821, 0.000, 3.821], [3.821, 3.821, 0.000]], "species": ["La", "Ho", "Tm", "Zn"], "frac_coords": [[0.000, 0.000, 0.000], [0.500, 0.500, 0.500], [0.250, 0.250, 0.250], [0.750, 0.750, 0.750]]}

#ii
{"formula": "LaHoTmZn", "functional": "PBE", "state": "optimized geometry", "sg": "P4mm (99)", "n_ef_per_ev_cell": 5.0, "lattice_angstrom": [[3.569, 0.000, 0.000], [0.000, 3.569, 0.000], [0.000, 0.000, 8.836]], "species": ["La", "Ho", "Tm", "Zn"], "frac_coords": [[0.000, 0.000, 0.000], [0.500, 0.500, 0.695], [0.500, 0.500, 0.302], [0.000, 0.000, 0.495]]}

Which one sits at the bottom of the stability order? #i does.

#i
{"formula": "La6Y2Ho", "functional": "PBE", "state": "optimized geometry", "sg": "P-6m2 (187)", "n_ef_per_ev_cell": 17.3, "lattice_angstrom": [[3.668, 0.000, 0.000], [-1.834, 3.176, 0.000], [0.000, 0.000, 27.618]], "species": ["La", "La", "La", "La", "La", "La", "Y", "Y", "Ho"], "frac_coords": [[0.000, 0.000, 0.066], [0.000, 0.000, 0.278], [0.000, 0.000, 0.722], [0.000, 0.000, 0.934], [0.333, 0.667, 0.395], [0.333, 0.667, 0.605], [0.333, 0.667, 0.171], [0.333, 0.667, 0.829], [0.000, 0.000, 0.500]]}

#ii
{"formula": "La6Y2Ho", "functional": "PBE", "state": "optimized geometry", "sg": "Cmmm (65)", "n_ef_per_ev_cell": 13.2, "lattice_angstrom": [[4.756, -8.953, 0.000], [4.756, 8.953, 0.000], [0.000, 0.000, 3.713]], "species": ["La", "La", "La", "La", "La", "La", "Y", "Y", "Ho"], "frac_coords": [[0.005, 0.336, 0.000], [0.180, 0.180, 0.500], [0.336, 0.005, 0.000], [0.664, 0.995, 0.000], [0.820, 0.820, 0.500], [0.995, 0.664, 0.000], [0.328, 0.672, 0.500], [0.672, 0.328, 0.500], [0.500, 0.500, 0.000]]}

Which one sits at the bottom of the stability order? #ii does.

#i
{"formula": "LaY6Ho12", "functional": "PBE", "state": "optimized geometry", "sg": "R-3m (166)", "n_ef_per_ev_cell": 25.1, "lattice_angstrom": [[7.589, 4.382, 3.278], [-7.589, 4.382, 3.278], [0.000, -8.763, 3.278]], "species": ["La", "Y", "Y", "Y", "Y", "Y", "Y", "Ho", "Ho", "Ho", "Ho", "Ho", "Ho", "Ho", "Ho", "Ho", "Ho", "Ho", "Ho"], "frac_coords": [[0.000, 0.000, 0.000], [0.248, 0.679, 0.679], [0.321, 0.321, 0.752], [0.321, 0.752, 0.321], [0.679, 0.248, 0.679], [0.679, 0.679, 0.248], [0.752, 0.321, 0.321], [0.108, 0.500, 0.892], [0.108, 0.892, 0.500], [0.163, 0.373, 0.373], [0.373, 0.163, 0.373], [0.373, 0.373, 0.163], [0.500, 0.108, 0.892], [0.500, 0.892, 0.108], [0.627, 0.627, 0.837], [0.627, 0.837, 0.627], [0.837, 0.627, 0.627], [0.892, 0.108, 0.500], [0.892, 0.500, 0.108]]}

#ii
{"formula": "LaY6Ho12", "functional": "PBE", "state": "optimized geometry", "sg": "R-3m (166)", "n_ef_per_ev_cell": 25.5, "lattice_angstrom": [[6.695, 3.866, 4.233], [-6.695, 3.866, 4.233], [0.000, -7.731, 4.233]], "species": ["La", "Y", "Y", "Y", "Y", "Y", "Y", "Ho", "Ho", "Ho", "Ho", "Ho", "Ho", "Ho", "Ho", "Ho", "Ho", "Ho", "Ho"], "frac_coords": [[0.000, 0.000, 0.000], [0.205, 0.205, 0.740], [0.205, 0.740, 0.205], [0.260, 0.795, 0.795], [0.740, 0.205, 0.205], [0.795, 0.260, 0.795], [0.795, 0.795, 0.260], [0.118, 0.500, 0.882], [0.118, 0.882, 0.500], [0.184, 0.470, 0.470], [0.470, 0.184, 0.470], [0.470, 0.470, 0.184], [0.500, 0.118, 0.882], [0.500, 0.882, 0.118], [0.530, 0.530, 0.816], [0.530, 0.816, 0.530], [0.816, 0.530, 0.530], [0.882, 0.118, 0.500], [0.882, 0.500, 0.118]]}

Which one sits at the bottom of the stability order? #ii does.

#i
{"formula": "La2YHo2", "functional": "PBE", "state": "optimized geometry", "sg": "Cmcm (63)", "n_ef_per_ev_cell": 16.8, "lattice_angstrom": [[3.448, -8.193, 0.000], [3.448, 8.193, 0.000], [0.000, 0.000, 6.331]], "species": ["La", "La", "La", "La", "Y", "Y", "Ho", "Ho", "Ho", "Ho"], "frac_coords": [[0.100, 0.900, 0.750], [0.331, 0.669, 0.250], [0.669, 0.331, 0.750], [0.900, 0.100, 0.250], [0.500, 0.500, 0.000], [0.500, 0.500, 0.500], [0.089, 0.431, 0.750], [0.431, 0.089, 0.250], [0.569, 0.911, 0.750], [0.911, 0.569, 0.250]]}

#ii
{"formula": "La2YHo2", "functional": "PBE", "state": "optimized geometry", "sg": "C2/c (15)", "n_ef_per_ev_cell": 16.1, "lattice_angstrom": [[8.020, -3.169, 0.000], [8.020, 3.169, 0.000], [-1.654, 0.000, 6.673]], "species": ["La", "La", "La", "La", "Y", "Y", "Ho", "Ho", "Ho", "Ho"], "frac_coords": [[0.020, 0.182, 0.444], [0.182, 0.020, 0.944], [0.818, 0.980, 0.056], [0.980, 0.818, 0.556], [0.416, 0.584, 0.250], [0.584, 0.416, 0.750], [0.219, 0.379, 0.850], [0.379, 0.219, 0.350], [0.621, 0.781, 0.650], [0.781, 0.621, 0.150]]}

Which one sits at the bottom of the stability order? #i does.

#i
{"formula": "La3Y3Ho2", "functional": "PBE", "state": "optimized geometry", "sg": "Immm (71)", "n_ef_per_ev_cell": 14.3, "lattice_angstrom": [[-2.540, 2.583, 10.307], [2.540, -2.583, 10.307], [2.540, 2.583, -10.307]], "species": ["La", "La", "La", "Y", "Y", "Y", "Ho", "Ho"], "frac_coords": [[0.000, 0.000, 0.000], [0.374, 0.874, 0.500], [0.626, 0.126, 0.500], [0.128, 0.628, 0.500], [0.500, 0.500, 0.000], [0.872, 0.372, 0.500], [0.249, 0.249, 0.000], [0.751, 0.751, 0.000]]}

#ii
{"formula": "La3Y3Ho2", "functional": "PBE", "state": "optimized geometry", "sg": "C2/m (12)", "n_ef_per_ev_cell": 16.3, "lattice_angstrom": [[8.379, -2.944, 0.000], [8.379, 2.944, 0.000], [-2.075, 0.000, 5.525]], "species": ["La", "La", "La", "Y", "Y", "Y", "Ho", "Ho"], "frac_coords": [[0.000, 0.000, 0.000], [0.147, 0.147, 0.648], [0.853, 0.853, 0.352], [0.374, 0.374, 0.874], [0.500, 0.500, 0.500], [0.626, 0.626, 0.126], [0.253, 0.253, 0.254], [0.747, 0.747, 0.746]]}

Which one sits at the bottom of the stability order? #ii does.